Here is a relaxed structure of Li3TiV3O8 from Alexandria. Energies are from PBE+U.

Cell: 6.0258 6.0258 6.0258 Å, 59.51 59.51 59.51°
With the nearest neighbours (Å) after each atom.
Fractional positions:
Li: 0.0000 0.5000 0.5000  6 O 2.19
Li: 0.5000 0.0000 0.5000  6 O 2.19
Li: 0.5000 0.5000 0.0000  6 O 2.19
Ti: 0.5000 0.5000 0.5000  6 O 1.98
V: 0.0000 0.0000 0.5000  6 O 2.05-2.07
V: 0.0000 0.5000 0.0000  6 O 2.05-2.07
V: 0.5000 0.0000 0.0000  6 O 2.05-2.07
O: 0.2419 0.2419 0.2419  3 V 2.05, 3 Li 2.19
O: 0.2534 0.7328 0.7328  1 Ti 1.98, 2 V 2.07, 2 Li 2.19
O: 0.2672 0.2672 0.7466  1 Ti 1.98, 2 V 2.07, 2 Li 2.19
O: 0.2672 0.7466 0.2672  1 Ti 1.98, 2 V 2.07, 2 Li 2.19
O: 0.7328 0.2534 0.7328  1 Ti 1.98, 2 V 2.07, 2 Li 2.19
O: 0.7328 0.7328 0.2534  1 Ti 1.98, 2 V 2.07, 2 Li 2.19
O: 0.7466 0.2672 0.2672  1 Ti 1.98, 2 V 2.07, 2 Li 2.19
O: 0.7581 0.7581 0.7581  3 V 2.05, 3 Li 2.19

Computed properties:
The distance to the lowest polymorph of the same formula comes out at 0.0 meV per atom.